[1]
A crystal of TmBiO3 relaxed with PBEsol, computed with meta-GGA SCAN.

abc: 5.9904 5.9904 5.9904
angles: 58.99 58.99 58.99
With the nearest neighbours (Å) after each atom.
Element x y z (fractional)
1 Tm 0.0000 0.0000 0.0000  6 O 2.18-2.28
2 Tm 0.5000 0.5000 0.5000  6 O 2.18-2.28
3 Bi 0.2166 0.2166 0.2166  6 O 2.32-2.47
4 Bi 0.7166 0.7166 0.7166  6 O 2.32-2.47
5 O 0.1477 0.8087 0.3626  2 Tm 2.18-2.28, 1 Bi 2.32
6 O 0.3087 0.6477 0.8626  2 Tm 2.18-2.28, 1 Bi 2.32
7 O 0.3626 0.1477 0.8087  2 Tm 2.18-2.28, 1 Bi 2.32
8 O 0.6477 0.8626 0.3087  2 Tm 2.18-2.28, 1 Bi 2.32
9 O 0.8087 0.3626 0.1477  2 Tm 2.18-2.28, 1 Bi 2.32
10 O 0.8626 0.3087 0.6477  2 Tm 2.18-2.28, 1 Bi 2.32

Properties
D(E_F) = 0.00 states/eV/f.u.
total DFT energy (no corrections) = -32.365 eV per atom
space group = R3c, No. 161
ΔE_f (raw) = -12.7 eV per formula unit

---

[2]
A crystal of Bi3WO relaxed with PBEsol, computed with meta-GGA SCAN.

abc: 5.2327 5.2327 5.2327
angles: 90.00 90.00 90.00
With the nearest neighbours (Å) after each atom.
Element x y z (fractional)
1 Bi 0.0000 0.0000 0.5000  2 W 2.62
2 Bi 0.0000 0.5000 0.0000  2 W 2.62
3 Bi 0.5000 0.0000 0.0000  2 W 2.62
4 W 0.0000 0.0000 0.0000  6 Bi 2.62
5 O 0.5000 0.5000 0.5000  12 Bi 3.70

Properties
D(E_F) = 2.36 states/eV/f.u.
total DFT energy (no corrections) = -61.289 eV per atom
space group = Pm-3m, No. 221
ΔE_f (raw) = 5.2 eV per formula unit

---

[3]
A crystal of Bi14WO24 relaxed with PBEsol, computed with meta-GGA SCAN.

abc: 8.6770 8.7042 10.5088
angles: 65.54 65.64 89.56
With the nearest neighbours (Å) after each atom.
Element x y z (fractional)
1 Bi 0.0000 0.0000 0.0000  3 O 2.15-2.27
2 Bi 0.0127 0.4904 0.6667  4 O 2.26
3 Bi 0.1172 0.9445 0.3473  5 O 2.33-2.61
4 Bi 0.1870 0.4103 0.9991  3 O 2.13-2.25
5 Bi 0.2488 0.8296 0.6671  4 O 2.24-2.26
6 Bi 0.3326 0.3347 0.3320  3 O 2.13-2.27
7 Bi 0.4074 0.8183 0.0037  3 O 2.13-2.25
8 Bi 0.5207 0.7489 0.3270  3 O 2.13-2.25
9 Bi 0.5879 0.2257 0.0001  3 O 2.12-2.25
10 Bi 0.6676 0.7286 0.6693  4 O 2.26-2.32
11 Bi 0.7451 0.1552 0.3261  3 O 2.12-2.25
12 Bi 0.7992 0.6195 0.9925  5 O 2.34-2.60
13 Bi 0.9038 0.0689 0.6723  4 O 2.25-2.31
14 Bi 0.9290 0.5639 0.3262  3 O 2.11-2.25
15 W 0.4729 0.3140 0.6388  4 O 1.79-1.80
16 O 0.0072 0.8770 0.8291  4 Bi 2.26-2.42
17 O 0.0651 0.5738 0.8249  4 Bi 2.25-2.43
18 O 0.0792 0.4004 0.4319  2 Bi 2.19-2.20
19 O 0.1302 0.7830 0.1735  2 Bi 2.11-2.25
20 O 0.1666 0.0390 0.5102  4 Bi 2.24-2.46
21 O 0.2215 0.7305 0.5099  4 Bi 2.24-2.47
22 O 0.2563 0.2152 0.7058  1 W 1.79
23 O 0.2825 0.2688 0.1768  2 Bi 2.13-2.25
24 O 0.3452 0.6595 0.9068  2 Bi 2.18-2.21
25 O 0.4548 0.9501 0.1682  2 Bi 2.13-2.25
26 O 0.4688 0.6123 0.1621  2 Bi 2.13-2.27
27 O 0.4703 0.4927 0.6827  1 W 1.79
28 O 0.5785 0.3940 0.4299  1 W 1.80
29 O 0.5812 0.9042 0.4267  2 Bi 2.19-2.20
30 O 0.5867 0.1637 0.7233  1 W 1.79
31 O 0.6341 0.2867 0.1582  2 Bi 2.12-2.25
32 O 0.7010 0.8258 0.8316  4 Bi 2.25-2.42
33 O 0.7536 0.5172 0.8249  4 Bi 2.26-2.44
34 O 0.7944 0.7784 0.1554  2 Bi 2.15-2.25
35 O 0.8406 0.1611 0.9047  2 Bi 2.18-2.20
36 O 0.8597 0.9905 0.5085  4 Bi 2.26-2.45
37 O 0.9102 0.6776 0.5097  4 Bi 2.26-2.46
38 O 0.9651 0.4575 0.1557  2 Bi 2.13-2.25
39 O 0.9664 0.1037 0.1733  2 Bi 2.12-2.27

Properties
D(E_F) = 0.00 states/eV/f.u.
total DFT energy (no corrections) = -35.093 eV per atom
space group = P1, No. 1
ΔE_f (raw) = -49.3 eV per formula unit

---

[4]
A crystal of Y2Bi2O7 relaxed with PBEsol, computed with meta-GGA SCAN.

abc: 7.6310 7.6310 7.6310
angles: 60.00 60.00 60.00
With the nearest neighbours (Å) after each atom.
Element x y z (fractional)
1 Y 0.0000 0.0000 0.0000  8 O 2.34-2.48
2 Y 0.0000 0.0000 0.5000  8 O 2.34-2.48
3 Y 0.0000 0.5000 0.0000  8 O 2.34-2.48
4 Y 0.5000 0.0000 0.0000  8 O 2.34-2.48
5 Bi 0.0000 0.5000 0.5000  6 O 2.21
6 Bi 0.5000 0.0000 0.5000  6 O 2.21
7 Bi 0.5000 0.5000 0.0000  6 O 2.21
8 Bi 0.5000 0.5000 0.5000  6 O 2.21
9 O 0.1250 0.1250 0.1250  4 Y 2.34
10 O 0.1461 0.1461 0.6039  2 Bi 2.21, 2 Y 2.48
11 O 0.1461 0.6039 0.1461  2 Bi 2.21, 2 Y 2.48
12 O 0.1461 0.6039 0.6039  2 Bi 2.21, 2 Y 2.48
13 O 0.3961 0.3961 0.8539  2 Bi 2.21, 2 Y 2.48
14 O 0.3961 0.8539 0.3961  2 Bi 2.21, 2 Y 2.48
15 O 0.3961 0.8539 0.8539  2 Bi 2.21, 2 Y 2.48
16 O 0.6039 0.1461 0.1461  2 Bi 2.21, 2 Y 2.48
17 O 0.6039 0.1461 0.6039  2 Bi 2.21, 2 Y 2.48
18 O 0.6039 0.6039 0.1461  2 Bi 2.21, 2 Y 2.48
19 O 0.8539 0.3961 0.3961  2 Bi 2.21, 2 Y 2.48
20 O 0.8539 0.3961 0.8539  2 Bi 2.21, 2 Y 2.48
21 O 0.8539 0.8539 0.3961  2 Bi 2.21, 2 Y 2.48
22 O 0.8750 0.8750 0.8750  4 Y 2.34

Properties
D(E_F) = 6.13 states/eV/f.u.
total DFT energy (no corrections) = -25.523 eV per atom
space group = Fd-3m, No. 227
ΔE_f (raw) = -24.3 eV per formula unit